First-principles (PBE-GGA) data for Ba4SnTe8Pb3 after structural relaxation, as listed in Alexandria via LeMat-Bulk.

The electronic total energy comes out at -64.72 eV/cell. As for the space group: R-3m (166). The energy relative to the elements, uncorrected is -1.048 eV per atom. The density of states at the Fermi level comes out at 0.00 states/eV per cell. Its crystal system is trigonal.

a b c (Å): 9.6325 9.6427 9.6330
angles (deg): 119.97 120.00 90.00
Last column: nearest neighbours and their distance in Å.
Fractional coordinates of all 16 atoms:
Pb 0.5000 0.5000 0.5000  6 Te 3.33
Ba 0.0000 0.0000 0.5000  6 Te 3.49
Ba 0.5000 0.0000 0.5000  6 Te 3.49
Pb 0.0000 0.5000 0.5000  6 Te 3.33
Ba 0.5000 0.0000 0.0000  6 Te 3.52
Pb 0.5000 0.5000 0.0000  6 Te 3.33
Te 0.7583 0.2697 0.5167  1 Sn 3.30, 2 Pb 3.33, 3 Ba 3.49-3.52
Te 0.7582 0.2697 0.0115  1 Sn 3.30, 2 Pb 3.33, 3 Ba 3.49-3.52
Sn 0.0000 0.5000 0.0000  6 Te 3.30
Te 0.2418 0.7303 0.9885  1 Sn 3.30, 2 Pb 3.33, 3 Ba 3.49-3.52
Te 0.7467 0.7303 0.9885  1 Sn 3.30, 2 Pb 3.33, 3 Ba 3.49-3.52
Te 0.2417 0.7303 0.4833  1 Sn 3.30, 2 Pb 3.33, 3 Ba 3.49-3.52
Te 0.2559 0.2679 0.5119  3 Pb 3.33, 3 Ba 3.49
Ba 0.0000 0.0000 0.0000  6 Te 3.49
Te 0.2533 0.2697 0.0115  1 Sn 3.30, 2 Pb 3.33, 3 Ba 3.49-3.52
Te 0.7441 0.7321 0.4881  3 Pb 3.33, 3 Ba 3.49